# 1
Density functional theory data (PBE-GGA) for an optimized crystal structure of Li2ThWN4.

Values from the calculation:
As for the symmetry: No. 63. For the uncorrected formation energy, the calculation gives -0.593 eV/atom.

Unit cell a=6.530 b=6.530 c=9.278 alpha=90.00 beta=90.00 gamma=149.11
Fractional coordinates of all 16 atoms:
Li1 0.090 0.910 0.540
Li2 0.090 0.910 0.960
Li3 0.910 0.090 0.040
Li4 0.910 0.090 0.460
Th1 0.435 0.565 0.750
Th2 0.565 0.435 0.250
W1 0.289 0.711 0.250
W2 0.711 0.289 0.750
N1 0.130 0.870 0.750
N2 0.188 0.812 0.112
N3 0.188 0.812 0.388
N4 0.500 0.500 0.000
N5 0.500 0.500 0.500
N6 0.812 0.188 0.612
N7 0.812 0.188 0.888
N8 0.870 0.130 0.250

# 2
Density functional theory data (PBE-GGA) for an optimized crystal structure of Zr2TaNb.

Values from the calculation:
The value obtained for the excess energy over the best structure of this formula in the dataset is 0.014 eV per atom. As for the symmetry: No. 123. The formation energy is 0.17 eV per atom.

Unit cell a=5.169 b=5.169 c=3.070 alpha=90.00 beta=90.00 gamma=90.00
Fractional coordinates of all 4 atoms:
Zr1 0.000 0.500 0.000
Zr2 0.500 0.000 0.000
Ta1 0.000 0.000 0.500
Nb1 0.500 0.500 0.500

# 3
Density functional theory data (PBE-GGA) for an optimized crystal structure of YSbBr2.

Values from the calculation:
The value obtained for the excess energy over the best structure of this formula in the dataset is 0.255 eV per atom. As for the symmetry: No. 69. For the uncorrected formation energy, the calculation gives -0.792 eV/atom.

Unit cell a=6.159 b=6.129 c=4.756 alpha=67.57 beta=66.89 gamma=45.54
Fractional coordinates of all 4 atoms:
Y1 0.000 0.000 0.000
Sb1 0.500 0.500 0.500
Br1 0.000 0.500 0.000
Br2 0.500 0.000 0.500

# 4
Density functional theory data (PBE-GGA) for an optimized crystal structure of Sm2H2SBr.

Values from the calculation:
As for the symmetry: No. 164.

Unit cell a=3.879 b=3.879 c=8.316 alpha=90.00 beta=90.00 gamma=120.00
Fractional coordinates of all 6 atoms:
Sm1 0.333 0.667 0.209
Sm2 0.667 0.333 0.791
H1 0.333 0.667 0.753
H2 0.667 0.333 0.247
S1 0.000 0.000 0.000
Br1 0.000 0.000 0.500

# 5
Density functional theory data (PBE-GGA) for an optimized crystal structure of Ce2ZnHPt6.

Values from the calculation:
As for the symmetry: No. 166.

Unit cell a=7.083 b=7.083 c=7.083 alpha=47.02 beta=47.02 gamma=47.02
Fractional coordinates of all 10 atoms:
Ce1 0.221 0.221 0.221
Ce2 0.779 0.779 0.779
Zn1 0.500 0.500 0.500
H1 0.000 0.000 0.000
Pt1 0.230 0.230 0.729
Pt2 0.230 0.729 0.230
Pt3 0.271 0.770 0.770
Pt4 0.729 0.230 0.230
Pt5 0.770 0.271 0.770
Pt6 0.770 0.770 0.271

# 6
Density functional theory data (PBE-GGA) for an optimized crystal structure of Np3VSe6.

Values from the calculation:
As for the symmetry: No. 148. For the uncorrected formation energy, the calculation gives -0.993 eV/atom.

Unit cell a=8.082 b=8.082 c=8.082 alpha=98.88 beta=98.88 gamma=98.88
Fractional coordinates of all 20 atoms:
Np1 0.118 0.293 0.631
Np2 0.293 0.631 0.118
Np3 0.369 0.882 0.707
Np4 0.631 0.118 0.293
Np5 0.707 0.369 0.882
Np6 0.882 0.707 0.369
V1 0.000 0.000 0.000
V2 0.500 0.500 0.500
Se1 0.026 0.935 0.686
Se2 0.065 0.314 0.974
Se3 0.190 0.561 0.426
Se4 0.314 0.974 0.065
Se5 0.426 0.190 0.561
Se6 0.439 0.574 0.810
Se7 0.561 0.426 0.190
Se8 0.574 0.810 0.439
Se9 0.686 0.026 0.935
Se10 0.810 0.439 0.574
Se11 0.935 0.686 0.026
Se12 0.974 0.065 0.314

# 7
Density functional theory data (PBE-GGA) for an optimized crystal structure of Li2PbCl.

Values from the calculation:
The value obtained for the excess energy over the best structure of this formula in the dataset is 0.055 eV per atom. As for the symmetry: No. 10. For the uncorrected formation energy, the calculation gives -0.875 eV/atom.

Unit cell a=3.513 b=3.296 c=7.832 alpha=90.00 beta=91.02 gamma=90.00
Fractional coordinates of all 4 atoms:
Li1 0.016 0.000 0.286
Li2 0.984 0.000 0.714
Pb1 0.500 0.500 0.000
Cl1 0.000 0.500 0.500

# 8
Density functional theory data (PBE-GGA) for an optimized crystal structure of LiCd2Ga.

Values from the calculation:
As for the symmetry: No. 122. The formation energy is 0.03 eV per atom.

Unit cell a=6.262 b=6.262 c=6.262 alpha=102.26 beta=102.26 gamma=125.13
Fractional coordinates of all 8 atoms:
Li1 0.000 0.000 0.000
Li2 0.750 0.250 0.500
Cd1 0.141 0.625 0.016
Cd2 0.375 0.391 0.516
Cd3 0.609 0.125 0.984
Cd4 0.875 0.859 0.484
Ga1 0.250 0.750 0.500
Ga2 0.500 0.500 0.000

# 9
Density functional theory data (PBE-GGA) for an optimized crystal structure of PrErPa.

Values from the calculation:
The value obtained for the excess energy over the best structure of this formula in the dataset is 0.341 eV per atom. As for the symmetry: No. 71. The formation energy is 0.50 eV per atom.

Unit cell a=9.574 b=9.574 c=9.574 alpha=160.60 beta=141.00 gamma=43.92
Fractional coordinates of all 6 atoms:
Pr1 0.250 0.000 0.250
Pr2 0.750 0.000 0.750
Er1 0.179 0.179 0.000
Er2 0.821 0.821 0.000
Pa1 0.353 0.353 0.000
Pa2 0.647 0.647 0.000

# 10
Density functional theory data (PBE-GGA) for an optimized crystal structure of Lu2MgTc.

Values from the calculation:
The value obtained for the excess energy over the best structure of this formula in the dataset is 0.000 eV per atom. As for the symmetry: No. 123. The formation energy is -0.14 eV per atom.

Unit cell a=3.424 b=3.424 c=7.881 alpha=90.00 beta=90.00 gamma=90.00
Fractional coordinates of all 4 atoms:
Lu1 0.000 0.000 0.201
Lu2 0.000 0.000 0.799
Mg1 0.500 0.500 0.500
Tc1 0.500 0.500 0.000

# 11
Density functional theory data (PBE-GGA) for an optimized crystal structure of TbMnCo.

Values from the calculation:
As for the symmetry: No. 74. The formation energy is -0.07 eV per atom.

Unit cell a=5.151 b=5.151 c=5.151 alpha=119.34 beta=117.58 gamma=92.69
Fractional coordinates of all 6 atoms:
Tb1 0.369 0.119 0.250
Tb2 0.631 0.881 0.750
Mn1 0.000 0.500 0.500
Mn2 0.500 0.500 0.000
Co1 0.000 0.000 0.500
Co2 0.000 0.500 0.000

# 12
Density functional theory data (PBE-GGA) for an optimized crystal structure of AgAsBr.

Values from the calculation:
The value obtained for the excess energy over the best structure of this formula in the dataset is 0.326 eV per atom. As for the symmetry: No. 107. For the uncorrected formation energy, the calculation gives 0.268 eV/atom.

Unit cell a=6.190 b=6.190 c=6.190 alpha=148.15 beta=148.15 gamma=45.67
Fractional coordinates of all 3 atoms:
Ag1 0.000 0.000 0.000
As1 0.623 0.623 0.000
Br1 0.316 0.316 0.000

Listing DFT total energy for the structures above in their given order: -124.5; -38.3; -17.1; -29.7; -60.0; -157.6; -12.9; -13.3; -34.7; -21.6; -42.2; -8.4 eV for the cell shown.
Listing magnetization for the structures above in their given order: 0.00; 0.00; 0.00; 0.00; 0.09; 1.40; 0.00; 0.00; 0.00; 0.00; 1.17; 0.00 μB per atom.